No. 1
A geometry-optimized SrPrZn4 structure, computed with PBE-GGA. Values from VASP.

```
&SYSTEM
  ibrav = 0, nat = 6, ntyp = 3
/
ATOMIC_SPECIES
Pr 140.91 Pr.upf
Sr 87.62 Sr.upf
Zn 65.41 Zn.upf
ATOMIC_POSITIONS angstrom
Pr 0.000 0.000 0.000
Sr 2.847 1.644 1.162
Zn 5.695 3.288 0.549
Zn 5.695 1.614 2.917
Zn 7.145 4.125 2.917
Zn 4.245 4.125 2.917
CELL_PARAMETERS angstrom
5.695 0.000 0.000
2.847 4.932 0.000
2.847 1.644 4.650
```

Values from the calculation:
space group	F-43m
Fermi-level density of states	0.70	states/eV/atom
relative energy among the computed polymorphs	58	meV per atom
E_tot	-2.1411	eV/atom
E_form	-215	meV/atom

No. 2
A geometry-optimized La2Ce2NiGe4 structure, computed with PBE-GGA. Values from VASP.

```
&SYSTEM
  ibrav = 0, nat = 9, ntyp = 4
/
ATOMIC_SPECIES
La 138.91 La.upf
Ce 140.12 Ce.upf
Ni 58.69 Ni.upf
Ge 72.64 Ge.upf
ATOMIC_POSITIONS angstrom
La 0.375 3.928 1.237
La 0.375 -0.222 4.113
Ce -3.910 2.318 3.345
Ce -1.874 1.111 1.603
Ni 0.000 0.000 0.000
Ge -2.892 3.929 0.940
Ge -0.949 2.777 4.008
Ge -2.892 -0.500 4.008
Ge 1.698 0.929 1.341
CELL_PARAMETERS angstrom
6.533 0.278 0.401
-2.892 5.865 -0.401
-2.892 -2.436 5.350
```

Values from the calculation:
space group	I4/mmm
Fermi-level density of states	1.41	states/eV/atom
E_tot	-5.6535	eV/atom
E_form	-545	meV/atom

No. 3
A geometry-optimized La9ThPb2 structure, computed with PBE-GGA. Values from VASP.

```
&SYSTEM
  ibrav = 0, nat = 12, ntyp = 3
/
ATOMIC_SPECIES
La 138.91 La.upf
Th 232.04 Th.upf
Pb 207.20 Pb.upf
ATOMIC_POSITIONS angstrom
La -2.598 0.322 2.481
La 0.782 -1.035 6.196
La 4.041 -2.344 9.779
La 0.802 1.227 3.302
La 4.149 -0.117 6.981
La 7.496 -1.461 10.661
La -0.075 -2.240 2.833
La 3.272 -3.583 6.513
La 6.619 -4.927 10.193
Th 0.000 0.000 0.000
Pb 3.350 -1.345 3.683
Pb 6.668 -2.677 7.331
CELL_PARAMETERS angstrom
-1.721 3.789 2.949
-3.475 -3.144 2.012
10.018 -4.022 11.014
```

Values from the calculation:
space group	P4/mmm
Fermi-level density of states	1.32	states/eV/atom
E_tot	-5.1727	eV/atom
E_form	-241	meV/atom

No. 4
A geometry-optimized SrMgCo2 structure, computed with PBE-GGA. Values from VASP.

```
&SYSTEM
  ibrav = 0, nat = 4, ntyp = 3
/
ATOMIC_SPECIES
Co 58.93 Co.upf
Mg 24.30 Mg.upf
Sr 87.62 Sr.upf
ATOMIC_POSITIONS angstrom
Co 6.095 3.516 0.985
Co 2.033 1.173 1.007
Mg 4.066 2.346 2.274
Sr 6.101 3.520 5.051
CELL_PARAMETERS angstrom
4.062 -0.001 -0.007
2.032 3.517 -0.007
2.040 1.177 6.234
```

Values from the calculation:
space group	R3m
Fermi-level density of states	0.52	states/eV/atom
relative energy among the computed polymorphs	0	meV per atom
E_tot	-4.2308	eV/atom
E_form	141	meV/atom

No. 5
A geometry-optimized CdBiSb structure, computed with PBE-GGA. Values from VASP.

```
&SYSTEM
  ibrav = 0, nat = 3, ntyp = 3
/
ATOMIC_SPECIES
Sb 121.76 Sb.upf
Bi 208.98 Bi.upf
Cd 112.41 Cd.upf
ATOMIC_POSITIONS angstrom
Sb 2.298 -0.631 0.492
Bi 4.269 -2.012 -1.483
Cd 0.103 -2.597 -0.343
CELL_PARAMETERS angstrom
-1.371 -3.921 1.373
1.064 0.597 -4.201
5.229 -1.436 1.120
```

Values from the calculation:
space group	P3m1
Fermi-level density of states	0.26	states/eV/atom
relative energy among the computed polymorphs	10	meV per atom
energy relative to the elements, uncorrected	0.059	eV/atom
E_tot	-2.9142	eV/atom

No. 6
A geometry-optimized Ba11LiRh2 structure, computed with PBE-GGA. Values from VASP.

```
&SYSTEM
  ibrav = 0, nat = 28, ntyp = 3
/
ATOMIC_SPECIES
Ba 137.33 Ba.upf
Li 6.94 Li.upf
Rh 102.91 Rh.upf
ATOMIC_POSITIONS angstrom
Ba 11.609 5.748 14.810
Ba 7.175 4.544 7.740
Ba 5.831 7.189 10.320
Ba 15.962 8.249 20.178
Ba 12.954 3.103 12.231
Ba 2.823 2.043 2.372
Ba 10.945 9.690 16.085
Ba 7.840 0.602 6.465
Ba 9.392 5.146 11.275
Ba 0.000 0.000 0.000
Ba 15.075 6.959 12.378
Ba 3.709 3.333 10.173
Ba 8.776 1.104 15.100
Ba 10.009 9.188 7.450
Ba 11.098 8.880 11.794
Ba 7.687 1.412 10.756
Ba 6.134 4.467 13.735
Ba 1.077 -0.030 8.790
Ba 12.650 5.825 8.816
Ba 17.708 10.322 13.760
Ba 7.253 7.267 4.524
Ba 11.532 3.025 18.027
Li 14.088 7.719 16.913
Li 4.696 2.573 5.638
Rh 12.265 6.017 11.879
Rh 6.520 4.275 10.671
Rh 10.794 0.162 17.119
Rh 7.991 10.130 5.432
CELL_PARAMETERS angstrom
12.007 0.000 6.259
5.851 11.001 3.423
0.927 -0.709 12.869
```

Values from the calculation:
space group	Ibam
Fermi-level density of states	1.05	states/eV/atom
E_tot	-2.6840	eV/atom
E_form	14	meV/atom

No. 7
A geometry-optimized Ac3AlHg3 structure, computed with PBE-GGA. Values from VASP.

```
&SYSTEM
  ibrav = 0, nat = 14, ntyp = 3
/
ATOMIC_SPECIES
Ac 227.00 Ac.upf
Al 26.98 Al.upf
Hg 200.59 Hg.upf
ATOMIC_POSITIONS angstrom
Ac -1.028 6.791 8.337
Ac 0.865 3.322 8.058
Ac 0.055 2.275 4.050
Ac -0.217 7.838 12.345
Ac -1.417 11.285 10.051
Ac 1.255 -1.172 6.344
Al -2.141 3.911 6.343
Al 1.979 6.202 10.052
Hg -0.025 4.598 11.050
Hg -0.137 5.515 5.345
Hg 1.447 10.794 11.717
Hg -1.609 -0.682 4.678
Hg 0.508 0.198 9.471
Hg -0.670 9.915 6.924
CELL_PARAMETERS angstrom
-2.440 -1.630 3.717
3.916 -1.770 4.811
-1.638 13.513 7.867
```

Values from the calculation:
space group	C2/m
Fermi-level density of states	1.09	states/eV/atom
relative energy among the computed polymorphs	0	meV per atom
E_tot	-2.8431	eV/atom
E_form	-418	meV/atom

No. 8
A geometry-optimized YTmCd3 structure, computed with PBE-GGA. Values from VASP.

```
&SYSTEM
  ibrav = 0, nat = 10, ntyp = 3
/
ATOMIC_SPECIES
Y 88.91 Y.upf
Tm 168.93 Tm.upf
Cd 112.41 Cd.upf
ATOMIC_POSITIONS angstrom
Y -5.327 6.725 9.846
Y -0.660 0.905 2.262
Tm -1.891 2.485 6.606
Tm -4.096 5.145 5.502
Cd -2.763 0.032 4.668
Cd -3.224 7.598 7.439
Cd -1.933 -2.133 2.993
Cd -4.053 9.764 9.115
Cd -3.181 2.757 3.654
Cd -2.806 4.874 8.454
CELL_PARAMETERS angstrom
-3.333 -0.760 -0.668
-0.086 -3.043 3.890
-2.568 11.433 8.885
```

Values from the calculation:
space group	Cmcm
Fermi-level density of states	0.91	states/eV/atom
E_tot	-3.0331	eV/atom
E_form	-297	meV/atom

No. 9
A geometry-optimized TbPm14Pb structure, computed with PBE-GGA. Values from VASP.

```
&SYSTEM
  ibrav = 0, nat = 16, ntyp = 3
/
ATOMIC_SPECIES
Tb 158.93 Tb.upf
Pm 145.00 Pm.upf
Pb 207.20 Pb.upf
ATOMIC_POSITIONS angstrom
Tb 1.273 -2.061 4.677
Pm 2.277 2.630 6.470
Pm -2.729 3.562 6.847
Pm -1.223 -2.509 7.252
Pm -0.216 2.182 9.044
Pm -1.242 -0.681 2.479
Pm -0.235 4.010 4.273
Pm 2.802 4.095 9.778
Pm 1.777 -0.673 7.956
Pm 2.782 5.932 4.983
Pm 1.758 1.164 3.161
Pm 5.309 4.543 7.190
Pm 4.285 -0.221 5.370
Pm 0.275 5.483 7.571
Pm -0.750 0.713 5.748
Pb -3.737 -1.129 5.054
CELL_PARAMETERS angstrom
-4.990 -0.895 5.149
5.029 -2.760 4.394
2.016 9.381 3.585
```

Values from the calculation:
space group	P4/mmm
Fermi-level density of states	1.41	states/eV/atom
E_tot	-4.7258	eV/atom
E_form	-48	meV/atom

No. 10
A geometry-optimized Ta2HPtRh structure, computed with PBE-GGA. Values from VASP.

```
&SYSTEM
  ibrav = 0, nat = 5, ntyp = 4
/
ATOMIC_SPECIES
H 1.01 H.upf
Rh 102.91 Rh.upf
Pt 195.08 Pt.upf
Ta 180.95 Ta.upf
ATOMIC_POSITIONS angstrom
H 0.000 0.000 0.000
Rh -1.947 0.735 2.836
Pt -1.976 -0.433 0.215
Ta 0.356 -0.690 1.875
Ta -0.326 1.858 0.746
CELL_PARAMETERS angstrom
-0.653 3.717 1.493
-3.952 -0.867 0.431
0.711 -1.381 3.749
```

Values from the calculation:
space group	P4/mmm
Fermi-level density of states	0.58	states/eV/atom
relative energy among the computed polymorphs	66	meV per atom
E_tot	-8.4772	eV/atom

No. 11
A geometry-optimized DyErZrSc structure, computed with PBE-GGA. Values from VASP.

```
&SYSTEM
  ibrav = 0, nat = 4, ntyp = 4
/
ATOMIC_SPECIES
Sc 44.96 Sc.upf
Er 167.26 Er.upf
Zr 91.22 Zr.upf
Dy 162.50 Dy.upf
ATOMIC_POSITIONS angstrom
Sc 0.000 0.000 0.000
Er 5.349 3.088 2.184
Zr 2.674 1.544 1.092
Dy 8.023 4.632 3.275
CELL_PARAMETERS angstrom
5.349 0.000 0.000
2.674 4.632 0.000
2.674 1.544 4.367
```

Values from the calculation:
space group	F-43m
Fermi-level density of states	2.11	states/eV/atom
relative energy among the computed polymorphs	114	meV per atom
E_tot	-5.8227	eV/atom
E_form	188	meV/atom

No. 12
A geometry-optimized YZnSe2 structure, computed with PBE-GGA. Values from VASP.

```
&SYSTEM
  ibrav = 0, nat = 4, ntyp = 3
/
ATOMIC_SPECIES
Se 78.96 Se.upf
Y 88.91 Y.upf
Zn 65.41 Zn.upf
ATOMIC_POSITIONS angstrom
Se -0.146 -0.019 0.130
Se -1.784 0.404 3.858
Y -4.600 -0.604 4.091
Zn -3.476 1.389 2.001
CELL_PARAMETERS angstrom
-6.944 0.295 2.814
-3.462 -1.662 6.440
5.604 3.220 -3.802
```

Values from the calculation:
space group	Imm2
Fermi-level density of states	0.19	states/eV/atom
energy relative to the elements, uncorrected	-1.084	eV/atom
E_tot	-4.7608	eV/atom